Record 1
Density functional theory data (PBE) for a geometry-optimized Li2MoPb structure.

extended XYZ file:
```
4
Lattice="2.9148 0.0000 0.0000 0.0000 4.4368 0.0000 -1.3987 0.0000 5.7158" Properties=species:S:1:pos:R:3 pbc="T T T"
Li 0.0000 0.0000 0.0000
Li -0.5957 2.2184 4.4389
Mo 1.6639 2.2184 1.4569
Pb 0.3623 0.0000 2.8603
```

Density = 7.12 g cm⁻³
Uncorrected energy = -4.189 eV/atom
Energy relative to the elements = 1.61 eV/f.u.
Size of the total moment = 1.13 μB/f.u.
Density of states at the Fermi level = 0.7134 states/eV/atom

=====

Record 2
Density functional theory data (PBE) for a geometry-optimized Li2MoPb structure.

extended XYZ file:
```
4
Lattice="1.8106 -2.2224 0.0000 1.8106 2.2224 0.0000 0.0000 0.0000 9.4456" Properties=species:S:1:pos:R:3 pbc="T T T"
Li 0.0000 0.0000 2.2238
Li 0.0000 0.0000 7.2218
Mo 1.8106 0.0000 0.0000
Pb 1.8106 0.0000 4.7228
```

Density = 6.93 g cm⁻³
Uncorrected energy = -4.183 eV/atom
Energy relative to the elements = 1.64 eV/f.u.
Size of the total moment = 0.00 μB/f.u.
Density of states at the Fermi level = 0.7606 states/eV/atom